# Ca3La5H12

A relaxed Ca3La5H12 crystal (GGA-PBE, Alexandria via LeMat-Bulk).

Geometry as POSCAR:
```
Ca3La5H12
1.0
-7.044 7.044 7.044
7.044 -7.044 7.044
7.044 7.044 -7.044
Ca La H
12 20 48
Cartesian
3.522 1.761 0.000
7.044 3.522 -1.761
1.761 0.000 3.522
8.805 0.000 3.522
0.000 3.522 1.761
3.522 -1.761 7.044
3.522 8.805 0.000
7.044 3.522 5.283
-1.761 7.044 3.522
5.283 7.044 3.522
0.000 3.522 8.805
3.522 5.283 7.044
0.000 0.000 0.000
3.522 3.522 -3.522
3.522 -3.522 3.522
7.044 0.000 0.000
10.565 1.761 0.000
7.044 -3.522 5.283
5.283 7.044 -3.522
5.283 0.000 3.522
3.522 5.283 0.000
7.044 3.522 1.761
-3.522 3.522 3.522
0.000 7.044 0.000
0.000 0.000 7.044
3.522 3.522 3.522
0.000 3.522 5.283
3.522 1.761 7.044
1.761 7.044 3.522
1.761 0.000 10.565
0.000 10.565 1.761
-3.522 5.283 7.044
9.309 -0.032 0.768
8.300 -2.754 3.490
2.265 0.032 0.768
8.300 4.290 -3.490
7.076 -0.768 2.265
10.533 -1.257 2.754
4.290 3.490 -1.257
6.275 2.265 -0.032
0.768 2.265 0.032
9.797 3.554 -1.257
0.032 0.768 2.265
3.490 -1.257 4.290
7.076 6.275 -2.265
3.490 1.257 2.754
2.754 3.490 1.257
7.812 4.779 -0.032
4.290 -3.490 8.300
6.275 -2.265 7.076
3.490 8.300 -2.754
7.076 0.768 4.779
1.257 2.754 3.490
2.265 -0.032 6.275
2.265 7.076 -0.768
8.300 2.754 3.554
-1.257 4.290 3.490
4.779 -0.032 7.812
4.779 7.076 0.768
5.787 4.290 3.554
-0.032 6.275 2.265
3.554 -1.257 9.797
0.768 9.309 -0.032
2.754 10.533 -1.257
-0.768 2.265 7.076
4.290 3.554 5.787
3.554 5.787 4.290
-0.032 0.768 9.309
3.554 8.300 2.754
7.011 6.275 4.779
-2.754 3.490 8.300
6.275 4.779 7.011
0.768 4.779 7.076
2.754 3.554 8.300
-3.490 8.300 4.290
-0.032 7.812 4.779
-1.257 2.754 10.533
4.779 7.011 6.275
-1.257 9.797 3.554
-2.265 7.076 6.275
```

E: -3.927 eV/atom
V: 17.5 Å³/atom
Space group: Ia-3d (230)